Compound: NpTlAgS3
Source: Alexandria via LeMat-Bulk
Functional: PBE-GGA
Structure: optimized geometry

Values from the calculation:
Formation energy without anion corrections: -779 meV/atom
N(E_F): 1.550 states/eV/atom
SG: P2_1/m

Cell lengths 4.068, 8.678, 9.220 Å; angles 105.69, 90.00, 90.00 degrees
Site moments in Bohr magnetons follow the coordinates.
Positions (direct):
S 0.750 0.865 0.112  -0.10
S 0.750 0.464 0.150  -0.12
S 0.250 0.135 0.888  -0.10
S 0.750 0.236 0.550  -0.09
S 0.250 0.764 0.450  -0.09
S 0.250 0.536 0.850  -0.12
Tl 0.250 0.212 0.254  -0.01
Tl 0.750 0.788 0.746  -0.01
Np 0.250 0.675 0.152  3.30
Np 0.750 0.325 0.848  3.30
Ag 0.750 0.928 0.395  -0.03
Ag 0.250 0.072 0.605  -0.03


Compound: Np2TlAg3S6
Source: Alexandria via LeMat-Bulk
Functional: PBE-GGA
Structure: optimized geometry

Values from the calculation:
Formation energy without anion corrections: -679 meV/atom
N(E_F): 1.227 states/eV/atom
SG: C2/m

Cell lengths 4.068, 9.195, 8.095 Å; angles 95.62, 104.55, 90.00 degrees
Site moments in Bohr magnetons follow the coordinates.
Positions (direct):
S 0.334 0.460 0.669  -0.11
S 0.690 0.158 0.381  -0.10
S 0.310 0.842 0.619  -0.10
S 0.666 0.540 0.331  -0.11
S 0.997 0.726 0.994  -0.10
S 0.003 0.274 0.006  -0.10
Tl 0.500 0.000 0.000  -0.01
Ag 0.157 0.751 0.313  -0.03
Ag 0.843 0.249 0.687  -0.03
Ag 0.500 0.500 0.000  -0.04
Np 0.167 0.340 0.335  3.32
Np 0.833 0.660 0.665  3.32